Entry 1:
Computed, not measured: a relaxed BeMo2W crystal at the PBE level of DFT.

Lattice parameters (Å, degrees): 9.160 9.160 9.160 17.31 17.31 17.31
Fractional positions:
Be1 0.000 0.000 0.000
Mo1 0.258 0.258 0.258
Mo2 0.742 0.742 0.742
W1 0.500 0.500 0.500

Output
- symmetry = R-3m, No. 166
- size of the total moment (μB per atom) = 0.00
- E_tot (eV/atom) = -9.1837

Entry 2:
Computed, not measured: a relaxed HoTmCo2 crystal at the PBE level of DFT.

Lattice parameters (Å, degrees): 3.838 5.467 7.409 90.00 90.00 90.00
Fractional positions:
Ho1 0.000 0.134 0.000
Ho2 0.000 0.866 0.500
Tm1 0.500 0.366 0.644
Tm2 0.500 0.634 0.144
Co1 0.000 0.354 0.351
Co2 0.000 0.646 0.851
Co3 0.500 0.151 0.295
Co4 0.500 0.849 0.795

Output
- symmetry = Pmc2_1, No. 26
- size of the total moment (μB per atom) = 0.04
- excess energy over the best structure of this formula in the dataset (meV per atom) = 0.0
- E_tot (eV/atom) = -6.0572